# 1
An optimized crystal structure of LiTbNiSb. Source: Alexandria, functional PBE-GGA.

Values from the calculation:
Total moment   0.00 μB/cell
Raw total energy   -4.631 eV/atom
Symmetry   F-43m, No. 216
Formation energy (no corrections)   -0.519 eV per atom
Density of states at the Fermi level   2.340 states/eV/f.u.

Lattice parameters (Å, degrees): 6.5780 6.5780 6.5780 90.00 90.00 90.00
Closest atoms and distances in Å follow each position.
Fractional coordinates of all 16 atoms:
Li1 0.0000 0.0000 0.0000  4 Sb 2.85, 4 Tb 2.85
Li2 0.0000 0.5000 0.5000  4 Sb 2.85, 4 Tb 2.85
Li3 0.5000 0.0000 0.5000  4 Sb 2.85, 4 Tb 2.85
Li4 0.5000 0.5000 0.0000  4 Sb 2.85, 4 Tb 2.85
Tb1 0.2500 0.2500 0.2500  4 Li 2.85, 4 Ni 2.85
Tb2 0.2500 0.7500 0.7500  4 Li 2.85, 4 Ni 2.85
Tb3 0.7500 0.2500 0.7500  4 Li 2.85, 4 Ni 2.85
Tb4 0.7500 0.7500 0.2500  4 Li 2.85, 4 Ni 2.85
Ni1 0.0000 0.0000 0.5000  4 Tb 2.85, 4 Sb 2.85
Ni2 0.0000 0.5000 0.0000  4 Tb 2.85, 4 Sb 2.85
Ni3 0.5000 0.0000 0.0000  4 Tb 2.85, 4 Sb 2.85
Ni4 0.5000 0.5000 0.5000  4 Tb 2.85, 4 Sb 2.85
Sb1 0.2500 0.2500 0.7500  4 Ni 2.85, 4 Li 2.85
Sb2 0.2500 0.7500 0.2500  4 Ni 2.85, 4 Li 2.85
Sb3 0.7500 0.2500 0.2500  4 Ni 2.85, 4 Li 2.85
Sb4 0.7500 0.7500 0.7500  4 Li 2.85, 4 Ni 2.85

=====

# 2
An optimized crystal structure of LiNiSbTe2. Source: Alexandria, functional PBE-GGA.

Values from the calculation:
Total moment   0.00 μB/cell
Raw total energy   -3.583 eV/atom
Symmetry   P4/mmm, No. 123
Formation energy (no corrections)   0.037 eV per atom
Density of states at the Fermi level   3.430 states/eV/f.u.

Lattice parameters (Å, degrees): 5.3777 5.3777 4.7334 90.00 90.00 90.00
Closest atoms and distances in Å follow each position.
Fractional coordinates of all 5 atoms:
Li1 0.0000 0.0000 0.0000  8 Te 3.58, 4 Sb 3.80
Ni1 0.5000 0.5000 0.5000  2 Sb 2.37
Sb1 0.5000 0.5000 0.0000  2 Ni 2.37
Te1 0.0000 0.5000 0.5000  2 Ni 2.69
Te2 0.5000 0.0000 0.5000  2 Ni 2.69

=====

# 3
An optimized crystal structure of LiNiSbTe2. Source: Alexandria, functional PBE-GGA.

Values from the calculation:
Total moment   0.45 μB/cell
Raw total energy   -2.961 eV/atom
Symmetry   P4/mmm, No. 123
Formation energy (no corrections)   0.659 eV per atom
Density of states at the Fermi level   4.898 states/eV/f.u.

Lattice parameters (Å, degrees): 5.0485 5.0485 4.7947 90.00 90.00 90.00
Closest atoms and distances in Å follow each position.
Fractional coordinates of all 5 atoms:
Li1 0.0000 0.0000 0.0000  2 Sb 2.40, 4 Te 2.52
Ni1 0.5000 0.5000 0.5000  8 Te 3.48, 4 Sb 3.57
Sb1 0.0000 0.0000 0.5000  2 Li 2.40
Te1 0.0000 0.5000 0.0000  2 Li 2.52
Te2 0.5000 0.0000 0.0000  2 Li 2.52

=====

# 4
An optimized crystal structure of LiTh2Ni4Sb3. Source: Alexandria, functional PBE-GGA.

Values from the calculation:
Total moment   0.00 μB/cell
Raw total energy   -5.824 eV/atom
Symmetry   P-4m2, No. 115
Formation energy (no corrections)   -0.599 eV per atom
Density of states at the Fermi level   5.764 states/eV/f.u.

Lattice parameters (Å, degrees): 4.2894 4.2894 10.3693 90.00 90.00 90.00
Closest atoms and distances in Å follow each position.
Fractional coordinates of all 10 atoms:
Li1 0.0000 0.0000 0.0000  4 Ni 2.55
Th1 0.0000 0.5000 0.7454  6 Sb 3.26-3.40, 8 Ni 3.29-3.33, 2 Li 3.40
Th2 0.5000 0.0000 0.2546  6 Sb 3.26-3.40, 8 Ni 3.29-3.33, 2 Li 3.40
Ni1 0.0000 0.0000 0.5000  4 Sb 2.53
Ni2 0.0000 0.5000 0.1328  3 Sb 2.46-2.55, 2 Li 2.55
Ni3 0.5000 0.0000 0.8672  3 Sb 2.46-2.55, 2 Li 2.55
Ni4 0.5000 0.5000 0.5000  4 Sb 2.53
Sb1 0.0000 0.5000 0.3705  5 Ni 2.46-2.53
Sb2 0.5000 0.0000 0.6295  5 Ni 2.46-2.53
Sb3 0.5000 0.5000 0.0000  4 Ni 2.55

=====

# 5
An optimized crystal structure of LiTlNiSb2. Source: Alexandria, functional PBE-GGA.

Values from the calculation:
Total moment   0.00 μB/cell
Raw total energy   -3.055 eV/atom
Symmetry   P4/mmm, No. 123
Formation energy (no corrections)   0.606 eV per atom
Density of states at the Fermi level   3.855 states/eV/f.u.

Lattice parameters (Å, degrees): 4.9567 4.9567 4.9185 90.00 90.00 90.00
Closest atoms and distances in Å follow each position.
Fractional coordinates of all 5 atoms:
Li1 0.0000 0.0000 0.0000  2 Tl 2.46, 4 Sb 2.48
Tl1 0.0000 0.0000 0.5000  2 Li 2.46
Ni1 0.5000 0.5000 0.5000  8 Sb 3.49, 4 Tl 3.50
Sb1 0.0000 0.5000 0.0000  2 Li 2.48
Sb2 0.5000 0.0000 0.0000  2 Li 2.48

=====

# 6
An optimized crystal structure of LiVNi2Sb. Source: Alexandria, functional PBE-GGA.

Values from the calculation:
Total moment   0.00 μB/cell
Raw total energy   -4.717 eV/atom
Symmetry   P4/mmm, No. 123
Formation energy (no corrections)   0.626 eV per atom
Density of states at the Fermi level   5.190 states/eV/f.u.

Lattice parameters (Å, degrees): 4.4305 4.4305 4.9855 90.00 90.00 90.00
Closest atoms and distances in Å follow each position.
Fractional coordinates of all 5 atoms:
Li1 0.0000 0.0000 0.0000  4 Sb 3.13, 8 Ni 3.33
V1 0.5000 0.5000 0.5000  4 Ni 2.22
Ni1 0.0000 0.5000 0.5000  2 V 2.22
Ni2 0.5000 0.0000 0.5000  2 V 2.22
Sb1 0.5000 0.5000 0.0000  2 V 2.49

=====

# 7
An optimized crystal structure of LiYNiSb. Source: Alexandria, functional PBE-GGA.

Values from the calculation:
Total moment   0.00 μB/cell
Raw total energy   -5.081 eV/atom
Symmetry   F-43m, No. 216
Formation energy (no corrections)   -0.511 eV per atom
Density of states at the Fermi level   2.391 states/eV/f.u.

Lattice parameters (Å, degrees): 6.5758 6.5758 6.5758 90.00 90.00 90.00
Closest atoms and distances in Å follow each position.
Fractional coordinates of all 16 atoms:
Li1 0.0000 0.0000 0.0000  4 Y 2.85, 4 Sb 2.85
Li2 0.0000 0.5000 0.5000  4 Y 2.85, 4 Sb 2.85
Li3 0.5000 0.0000 0.5000  4 Y 2.85, 4 Sb 2.85
Li4 0.5000 0.5000 0.0000  4 Y 2.85, 4 Sb 2.85
Y1 0.2500 0.2500 0.2500  4 Li 2.85, 4 Ni 2.85
Y2 0.2500 0.7500 0.7500  4 Ni 2.85, 4 Li 2.85
Y3 0.7500 0.2500 0.7500  4 Ni 2.85, 4 Li 2.85
Y4 0.7500 0.7500 0.2500  4 Ni 2.85, 4 Li 2.85
Ni1 0.0000 0.0000 0.5000  4 Sb 2.85, 4 Y 2.85
Ni2 0.0000 0.5000 0.0000  4 Sb 2.85, 4 Y 2.85
Ni3 0.5000 0.0000 0.0000  4 Sb 2.85, 4 Y 2.85
Ni4 0.5000 0.5000 0.5000  4 Sb 2.85, 4 Y 2.85
Sb1 0.2500 0.2500 0.7500  4 Li 2.85, 4 Ni 2.85
Sb2 0.2500 0.7500 0.2500  4 Li 2.85, 4 Ni 2.85
Sb3 0.7500 0.2500 0.2500  4 Li 2.85, 4 Ni 2.85
Sb4 0.7500 0.7500 0.7500  4 Li 2.85, 4 Ni 2.85

=====

# 8
An optimized crystal structure of LiY2NiSb. Source: Alexandria, functional PBE-GGA.

Values from the calculation:
Total moment   0.83 μB/cell
Raw total energy   -4.679 eV/atom
Symmetry   P4/mmm, No. 123
Formation energy (no corrections)   0.270 eV per atom
Density of states at the Fermi level   6.134 states/eV/f.u.

Lattice parameters (Å, degrees): 5.1652 5.1652 4.4503 90.00 90.00 90.00
Closest atoms and distances in Å follow each position.
Fractional coordinates of all 5 atoms:
Li1 0.0000 0.0000 0.0000  2 Sb 2.23
Y1 0.0000 0.5000 0.0000  2 Li 2.58
Y2 0.5000 0.0000 0.0000  2 Li 2.58
Ni1 0.5000 0.5000 0.5000  8 Y 3.41, 4 Sb 3.65
Sb1 0.0000 0.0000 0.5000  2 Li 2.23